{
  "formula": "Nd2MnHgO5",
  "functional": "PBE with a Hubbard U",
  "state": "optimized geometry",
  "lattice_angstrom": [[6.885, 0.000, 0.000], [0.000, 6.885, 0.000], [0.000, 0.000, 5.716]],
  "species": ["Nd", "Nd", "Nd", "Nd", "Mn", "Mn", "Hg", "Hg", "O", "O", "O", "O", "O", "O", "O", "O", "O", "O"],
  "fractional_positions": [[0.178, 0.322, 0.000], [0.322, 0.822, 0.000], [0.678, 0.178, 0.000], [0.822, 0.678, 0.000], [0.000, 0.500, 0.500], [0.500, 0.000, 0.500], [0.000, 0.000, 0.500], [0.500, 0.500, 0.500], [0.000, 0.000, 0.000], [0.130, 0.630, 0.251], [0.130, 0.630, 0.749], [0.370, 0.130, 0.251], [0.370, 0.130, 0.749], [0.500, 0.500, 0.000], [0.630, 0.870, 0.251], [0.630, 0.870, 0.749], [0.870, 0.370, 0.251], [0.870, 0.370, 0.749]],
  "e_tot_ev_per_cell": -123.15
}